# 1
The following is a PBE calculation of CdPdI2O after structural relaxation, from Alexandria via LeMat-Bulk.

## Properties
Relative energy among the computed polymorphs (meV/atom): 0
Electronic total energy (eV/atom): -2.86
Density of states at the Fermi level (states/eV/f.u.): 5.31
Formation energy without anion corrections (kJ/mol of formula units): -15.3

Cell lengths 5.702, 5.702, 3.897 Å; angles 90.00, 90.00, 90.00 degrees
Space group P4/mmm (No. 123)
Asymmetric unit:
Cd  0.000  0.000  0.000 (multiplicity 1)
Pd  0.500  0.500  0.500 (multiplicity 1)
I  0.000  0.500  0.500 (multiplicity 2)
O  0.500  0.500  0.000 (multiplicity 1)

=====

# 2
The following is a PBE calculation of CdPdI2O8 after structural relaxation, from Alexandria via LeMat-Bulk.

## Properties
Electronic total energy (eV/atom): -4.18
Density of states at the Fermi level (states/eV/f.u.): 6.38
Formation energy without anion corrections (kJ/mol of formula units): -120.8

Cell lengths 7.187, 7.187, 7.008 Å; angles 90.00, 90.00, 90.00 degrees
Space group I-4m2 (No. 119)
Asymmetric unit:
Cd  0.000  0.000  0.000 (multiplicity 2)
Pd  0.000  0.500  0.250 (multiplicity 2)
I  0.000  0.000  0.500 (multiplicity 2)
I  0.000  0.500  0.750 (multiplicity 2)
O  0.000  0.200  0.311 (multiplicity 8)
O  0.000  0.307  0.918 (multiplicity 8)

=====

# 3
The following is a PBE calculation of CdPdI2O after structural relaxation, from Alexandria via LeMat-Bulk.

## Properties
Relative energy among the computed polymorphs (meV/atom): 360
Electronic total energy (eV/atom): -2.51
Density of states at the Fermi level (states/eV/f.u.): 9.01
Formation energy without anion corrections (kJ/mol of formula units): 158.2

Cell lengths 5.922, 5.922, 4.059 Å; angles 90.00, 90.00, 90.00 degrees
Space group P4/mmm (No. 123)
Asymmetric unit:
Cd  0.000  0.000  0.000 (multiplicity 1)
Pd  0.500  0.500  0.500 (multiplicity 1)
I  0.000  0.500  0.000 (multiplicity 2)
O  0.000  0.000  0.500 (multiplicity 1)

=====

# 4
The following is a PBE calculation of Cd2PdIO6 after structural relaxation, from Alexandria via LeMat-Bulk.

## Properties
Electronic total energy (eV/atom): -4.42
Density of states at the Fermi level (states/eV/f.u.): 4.37
Formation energy without anion corrections (kJ/mol of formula units): -570.7

Cell lengths 5.106, 5.459, 10.896 Å; angles 90.00, 115.94, 90.00 degrees
Space group P2_1/c (No. 14)
Asymmetric unit:
Cd  0.213  0.054  0.243 (multiplicity 4)
Pd  0.500  0.000  0.000 (multiplicity 2)
I  0.000  0.000  0.500 (multiplicity 2)
O  0.133  0.218  0.910 (multiplicity 4)
O  0.208  0.725  0.920 (multiplicity 4)
O  0.325  0.051  0.682 (multiplicity 4)

=====

# 5
The following is a PBE calculation of PmCd2IO6 after structural relaxation, from Alexandria via LeMat-Bulk.

## Properties
Electronic total energy (eV/atom): -5.15
Density of states at the Fermi level (states/eV/f.u.): 0.00
Formation energy without anion corrections (kJ/mol of formula units): -1310.8

Cell lengths 5.8449, 5.8449, 15.1496 Å; angles 90.00, 90.00, 120.00 degrees
Space group R3 (No. 146, hexagonal axes)
Asymmetric unit:
Pm  0.0000  0.0000  0.0000 (multiplicity 3)
Cd  0.0000  0.0000  0.2675 (multiplicity 3)
Cd  0.0000  0.0000  0.7875 (multiplicity 3)
I  0.0000  0.0000  0.4910 (multiplicity 3)
O  0.0439  0.3531  0.5640 (multiplicity 9)
O  0.0673  0.6782  0.0751 (multiplicity 9)

=====

# 6
The following is a PBE calculation of PmCdIO6 after structural relaxation, from Alexandria via LeMat-Bulk.

## Properties
Electronic total energy (eV/atom): -5.42
Formation energy without anion corrections (kJ/mol of formula units): -1142.3

Cell lengths 5.7470, 5.7470, 9.0438 Å; angles 90.00, 90.00, 120.00 degrees
Space group P-31c (No. 163)
Asymmetric unit:
Pm  0.3333  0.6667  0.2500 (multiplicity 2)
Cd  0.0000  0.0000  0.0000 (multiplicity 2)
I  0.3333  0.6667  0.7500 (multiplicity 2)
O  0.0582  0.3903  0.6316 (multiplicity 12)

=====

# 7
The following is a PBE calculation of CdPtIO2 after structural relaxation, from Alexandria via LeMat-Bulk.

## Properties
Relative energy among the computed polymorphs (meV/atom): 0
Electronic total energy (eV/atom): -3.60
Density of states at the Fermi level (states/eV/f.u.): 3.61
Formation energy without anion corrections (kJ/mol of formula units): 41.1

Cell lengths 4.073, 4.073, 5.795 Å; angles 90.00, 90.00, 90.00 degrees
Space group P4/mmm (No. 123)
Asymmetric unit:
Cd  0.000  0.000  0.000 (multiplicity 1)
Pt  0.500  0.500  0.500 (multiplicity 1)
I  0.500  0.500  0.000 (multiplicity 1)
O  0.000  0.500  0.500 (multiplicity 2)

=====

# 8
The following is a PBE calculation of CdPtI2O after structural relaxation, from Alexandria via LeMat-Bulk.

## Properties
Relative energy among the computed polymorphs (meV/atom): 656
Electronic total energy (eV/atom): -2.39
Density of states at the Fermi level (states/eV/f.u.): 10.87
Formation energy without anion corrections (kJ/mol of formula units): 297.3

Cell lengths 5.813, 5.813, 3.954 Å; angles 90.00, 90.00, 90.00 degrees
Space group P4/mmm (No. 123)
Asymmetric unit:
Cd  0.000  0.000  0.000 (multiplicity 1)
Pt  0.500  0.500  0.500 (multiplicity 1)
I  0.000  0.500  0.000 (multiplicity 2)
O  0.000  0.000  0.500 (multiplicity 1)